Entry 1:
Here is a relaxed structure of Y2RhCl from Alexandria via LeMat-Bulk. Energies are from PBE.

The structure in extended XYZ format:
```
4
Lattice="3.4112 0.0000 0.0000 0.0000 3.4983 0.0062 0.0000 -0.0137 8.0336" Properties=species:S:1:pos:R:3 pbc="T T T"
Cl 1.7056 0.8711 2.0100
Rh 1.7056 2.6134 6.0299
Y 0.0000 0.8609 7.6995
Y 0.0000 0.8677 4.3540
```

Summary:
Raw total energy ... -26.6 eV per cell
M_tot ... 0.00 μB/atom
Density of states at the Fermi level ... 1.4 states/eV/f.u.
Theoretical density ... 5.48 g cm⁻³
Space group ... Pmmm (47)
Crystal system ... orthorhombic

Entry 2:
Here is a relaxed structure of CdW3Au from Alexandria via LeMat-Bulk. Energies are from PBE.

The structure in extended XYZ format:
```
5
Lattice="4.8714 0.0000 0.0000 0.0000 4.8714 0.0000 0.0000 0.0000 4.8714" Properties=species:S:1:pos:R:3 pbc="T T T"
Au 0.0000 0.0000 0.0000
W 0.0000 2.4357 0.0000
W 0.0000 0.0000 2.4357
W 2.4357 0.0000 0.0000
Cd 2.4357 2.4357 2.4357
```

Summary:
Raw total energy ... -30.2 eV per cell
M_tot ... 0.00 μB/atom
Energy of formation from the pure elements ... 12.81 eV/f.u.
Density of states at the Fermi level ... 3.0 states/eV/f.u.
Theoretical density ... 12.37 g cm⁻³
Space group ... Pm-3m (221)
Crystal system ... cubic

Entry 3:
Here is a relaxed structure of K3Ce2HfSe6 from Alexandria via LeMat-Bulk. Energies are from PBE.

The structure in extended XYZ format:
```
12
Lattice="-3.7628 -3.6381 -5.0722 6.7852 2.2551 -1.4132 1.7682 -6.2032 4.8936" Properties=species:S:1:pos:R:3 pbc="T T T"
K 5.8703 -1.8516 0.4095
K -1.0796 -5.7346 -2.0014
K 2.3953 -3.7931 -0.7959
Ce 3.2645 0.2881 -2.6345
Ce -0.2421 -1.6711 -3.8509
Hf 0.0000 0.0000 0.0000
Se 2.1165 -6.9114 -1.7168
Se 2.6629 -2.3331 -3.9188
Se 2.6742 -0.6748 0.1250
Se 5.3842 -5.0857 -0.5832
Se 2.1278 -5.2531 2.3269
Se -0.5936 -2.5005 -1.0086
```

Summary:
Raw total energy ... -64.4 eV per cell
M_tot ... 0.25 μB/atom
Density of states at the Fermi level ... 16.7 states/eV/f.u.
Theoretical density ... 4.91 g cm⁻³
Space group ... C2/m (12)
Crystal system ... monoclinic